1.
## In3CoBr (PBEsol)

Data for a relaxed structure of In3CoBr.

## Properties
Calculated volume   24.1 Å³/atom
Formation energy without anion corrections   -188 meV per atom
Space group   No. 221

a b c (Å): 4.9360 4.9360 4.9360
angles (deg): 90.00 90.00 90.00
Element x y z (fractional)
In  0.0000  0.0000  0.5000
In  0.0000  0.5000  0.0000
In  0.5000  0.0000  0.0000
Co  0.0000  0.0000  0.0000
Br  0.5000  0.5000  0.5000

***

2.
## In2CoReBr (PBEsol)

Data for a relaxed structure of In2CoReBr.

## Properties
Calculated volume   26.0 Å³/atom
Formation energy without anion corrections   1315 meV per atom
Space group   No. 123

a b c (Å): 5.2951 5.2951 4.6426
angles (deg): 90.00 90.00 90.00
Element x y z (fractional)
In  0.0000  0.5000  0.0000
In  0.5000  0.0000  0.0000
Co  0.0000  0.0000  0.5000
Re  0.5000  0.5000  0.0000
Br  0.5000  0.5000  0.5000